# 1
4
Lattice="0.0000 3.1784 3.1784 3.1784 0.0000 3.1784 3.1784 3.1784 0.0000" Properties=species:S:1:pos:R:3 comment="PBE MoOs2Br, relaxed" n_ef_per_ev_cell=4.7 vol_a3_per_fu=64 sg="Fm-3m, No. 225" raw_formation_energy_ev_per_atom=1.349 e_above_lowest_polymorph_ev_per_atom=0.7101 pbc="T T T"
Mo 3.1784 3.1784 3.1784
Os 1.5892 1.5892 1.5892
Os 4.7677 4.7677 4.7677
Br 0.0000 0.0000 0.0000

# 2
4
Lattice="0.0239 -2.6209 -3.8588 -0.6102 -4.3374 -1.6044 -6.5342 1.3716 -0.7936" Properties=species:S:1:pos:R:3 comment="PBE MoOs2Br, relaxed" n_ef_per_ev_cell=3.4 vol_a3_per_fu=87 sg="Cm, No. 8" raw_formation_energy_ev_per_atom=0.747 e_above_lowest_polymorph_ev_per_atom=0.1080 pbc="T T T"
Mo -1.2334 -1.3836 -1.4004
Os -6.9741 -5.1499 -5.8830
Os -6.0392 -3.3237 -4.2295
Br -3.5543 -4.1097 -4.1290

# 3
8
Lattice="-5.8539 -0.8175 -0.2608 0.4035 -1.0356 -5.8111 -2.0719 -5.9016 -2.1040" Properties=species:S:1:pos:R:3 comment="PBE MoOs2Br, relaxed" n_ef_per_ev_cell=7.6 vol_a3_per_fu=89 sg="I-42d, No. 122" raw_formation_energy_ev_per_atom=1.468 e_above_lowest_polymorph_ev_per_atom=0.8291 pbc="T T T"
Mo 0.0000 0.0000 0.0000
Mo -5.3255 -3.8229 -2.7003
Os -4.1608 -2.1207 -1.4169
Os -0.9629 -2.2200 -4.1890
Os -3.6002 -5.1150 -3.8205
Os -6.3206 -6.0538 -6.9252
Br -2.7252 -0.9266 -3.0359
Br -2.1968 -3.9319 -5.4755

# 4
10
Lattice="-3.2130 -5.4120 -4.3474 0.8680 -5.0661 5.6652 -2.6364 0.7221 1.0496" Properties=species:S:1:pos:R:3 comment="PBE Mo2Os2Br, relaxed" n_ef_per_ev_cell=7.3 vol_a3_per_fu=86 sg="P4/mbm, No. 127" raw_formation_energy_ev_per_atom=0.521 e_above_lowest_polymorph_ev_per_atom=0.0000 pbc="T T T"
Mo -0.3816 -6.1771 3.2909
Mo -2.1578 -7.8924 0.0093
Mo -1.9635 -4.3010 -1.9731
Mo -0.1872 -2.5857 1.3084
Os -1.1963 -3.5662 3.5328
Os -2.5998 -7.4571 2.6841
Os -3.7853 -6.1899 -1.1654
Os -2.3817 -2.2990 -0.3167
Br 0.0000 0.0000 0.0000
Br -1.1725 -5.2391 0.6589

# 5
6
Lattice="0.0000 3.7046 3.7046 3.7046 0.0000 3.7046 3.7046 3.7046 0.0000" Properties=species:S:1:pos:R:3 comment="PBE Mo4OsBr, relaxed" n_ef_per_ev_cell=7.0 vol_a3_per_fu=102 sg="F-43m, No. 216" raw_formation_energy_ev_per_atom=0.996 pbc="T T T"
Mo 2.7755 4.6337 4.6337
Mo 4.6337 4.6337 2.7755
Mo 4.6337 2.7755 4.6337
Mo 2.7755 2.7755 2.7755
Os 5.5569 5.5569 5.5569
Br 0.0000 0.0000 0.0000

# 6
4
Lattice="-6.5826 -5.6688 2.7960 -6.3483 -6.5557 0.0679 -4.5834 -7.6121 2.0812" Properties=species:S:1:pos:R:3 comment="PBE MoOs2Br, relaxed" n_ef_per_ev_cell=2.4 vol_a3_per_fu=64 sg="R3m, No. 160" raw_formation_energy_ev_per_atom=0.639 e_above_lowest_polymorph_ev_per_atom=0.0000 pbc="T T T"
Mo -13.1338 -14.8754 3.7083
Os -17.5136 -19.8360 4.9449
Os -4.5061 -5.1037 1.2723
Br -8.6319 -9.7765 2.4372

# 7
4
Lattice="-0.7280 -1.7199 2.0858 0.9649 -1.0864 -2.3932 9.3282 0.3955 3.5816" Properties=species:S:1:pos:R:3 comment="PBE MoOs2Br, relaxed" n_ef_per_ev_cell=5.6 vol_a3_per_fu=68 sg="Cmm2, No. 35" raw_formation_energy_ev_per_atom=0.984 e_above_lowest_polymorph_ev_per_atom=0.3450 pbc="T T T"
Mo 7.2765 -1.0997 2.5947
Os 9.2588 0.3925 3.5549
Os 2.1157 -1.3185 0.6132
Br 4.9065 0.2080 1.8839

# 8
5
Lattice="-1.3680 -0.3573 3.6120 -1.2343 -3.5843 -0.8220 4.3928 -4.3717 3.3141" Properties=species:S:1:pos:R:3 comment="PBE Mo2Os2Br, relaxed" n_ef_per_ev_cell=5.6 vol_a3_per_fu=97 sg="I4/mmm, No. 139" raw_formation_energy_ev_per_atom=0.678 e_above_lowest_polymorph_ev_per_atom=0.1571 pbc="T T T"
Mo 0.1122 -2.5667 1.8714
Mo 1.6783 -5.7465 4.2328
Os 0.8618 -3.3498 4.1606
Os 0.9287 -4.9633 1.9436
Br 0.0000 0.0000 0.0000

# 9
4
Lattice="-3.1035 2.2070 -1.7411 -1.5579 -0.2675 2.4379 1.2595 4.2031 3.0827" Properties=species:S:1:pos:R:3 comment="PBE MoOs2Br, relaxed" n_ef_per_ev_cell=2.9 vol_a3_per_fu=63 sg="P2/m, No. 10" raw_formation_energy_ev_per_atom=0.900 e_above_lowest_polymorph_ev_per_atom=0.2606 pbc="T T T"
Mo -1.7755 4.0552 3.2699
Os -0.1955 -0.0275 0.3137
Os 0.0464 1.9953 2.4466
Br -1.6263 2.0874 0.5096

# 10
4
Lattice="2.7172 -0.0017 0.0000 -1.1878 2.4438 0.0000 0.0000 0.0000 11.4974" Properties=species:S:1:pos:R:3 comment="PBE MoOs2Br, relaxed" n_ef_per_ev_cell=4.4 vol_a3_per_fu=76 sg="Cmmm, No. 65" raw_formation_energy_ev_per_atom=0.871 e_above_lowest_polymorph_ev_per_atom=0.2321 pbc="T T T"
Mo 0.7647 1.2210 8.6230
Os 0.0000 0.0000 10.8350
Os 0.0000 0.0000 6.4111
Br 0.7647 1.2210 2.8743

# 11
4
Lattice="2.9316 0.0000 0.0000 0.0000 2.9316 0.0000 0.0000 0.0000 7.4947" Properties=species:S:1:pos:R:3 comment="PBE MoOs2Br, relaxed" n_ef_per_ev_cell=4.5 vol_a3_per_fu=64 sg="P4/mmm, No. 123" raw_formation_energy_ev_per_atom=0.803 e_above_lowest_polymorph_ev_per_atom=0.1635 pbc="T T T"
Mo 1.4658 1.4658 5.6210
Os 0.0000 0.0000 7.3629
Os 0.0000 0.0000 3.8792
Br 1.4658 1.4658 1.8737

# 12
4
Lattice="-1.4778 -4.0411 -2.2282 2.7774 -0.6756 -3.9126 1.1722 0.8336 4.6271" Properties=species:S:1:pos:R:3 comment="PBE MoOs2Br, relaxed" n_ef_per_ev_cell=4.9 vol_a3_per_fu=63 sg="I4/mmm, No. 139" raw_formation_energy_ev_per_atom=1.275 e_above_lowest_polymorph_ev_per_atom=0.6362 pbc="T T T"
Mo 0.1721 -2.7829 -0.3358
Os 0.0000 0.0000 0.0000
Os 0.6498 -2.3583 -3.0704
Br 2.2997 -1.1001 -1.1780

# 13
4
Lattice="-0.4938 -5.0469 -1.7491 4.3150 -2.5058 -1.9689 -2.3661 2.4092 4.1679" Properties=species:S:1:pos:R:3 comment="PBE MoOs2Br, relaxed" n_ef_per_ev_cell=3.7 vol_a3_per_fu=62 sg="Imm2, No. 44" raw_formation_energy_ev_per_atom=1.062 e_above_lowest_polymorph_ev_per_atom=0.4224 pbc="T T T"
Mo 2.0033 -2.0819 0.0984
Os 3.7901 -7.4911 -3.6877
Os -0.5107 -3.1357 0.3150
Br 1.9042 -3.7637 -1.8528

# 14
4
Lattice="2.8870 0.0000 0.0000 0.0000 4.6859 0.0000 0.0000 0.0000 4.6231" Properties=species:S:1:pos:R:3 comment="PBE MoOs2Br, relaxed" n_ef_per_ev_cell=3.1 vol_a3_per_fu=63 sg="Pmmm, No. 47" raw_formation_energy_ev_per_atom=1.035 e_above_lowest_polymorph_ev_per_atom=0.3963 pbc="T T T"
Mo 0.0000 2.3429 2.3116
Os 0.0000 0.0000 0.0000
Os 1.4435 2.3429 0.0000
Br 1.4435 0.0000 2.3116

# 15
4
Lattice="4.7516 -0.0004 0.0000 -1.1203 4.6177 0.0000 0.0000 0.0000 2.8835" Properties=species:S:1:pos:R:3 comment="PBE MoOs2Br, relaxed" n_ef_per_ev_cell=3.4 vol_a3_per_fu=63 sg="Cmmm, No. 65" raw_formation_energy_ev_per_atom=1.224 e_above_lowest_polymorph_ev_per_atom=0.5852 pbc="T T T"
Mo -0.5602 2.3088 1.4418
Os 0.0000 0.0000 0.0000
Os 1.8157 2.3086 0.0000
Br 2.3758 -0.0002 1.4418

# 16
4
Lattice="-0.3177 -4.7603 0.0216 0.9590 2.2159 -4.7520 2.8493 -0.3707 -0.3933" Properties=species:S:1:pos:R:3 comment="PBE MoOs2Br, relaxed" n_ef_per_ev_cell=3.8 vol_a3_per_fu=63 sg="C2/m, No. 12" raw_formation_energy_ev_per_atom=1.143 e_above_lowest_polymorph_ev_per_atom=0.5043 pbc="T T T"
Mo 0.3206 -1.2722 -2.3652
Os 0.0000 0.0000 0.0000
Os 1.2658 -2.5655 -0.1859
Br 1.9041 0.9226 -2.5727

# 17
4
Lattice="-1.8004 -1.1657 -1.9633 3.1155 -3.3935 -0.8421 -1.9537 -2.6250 3.3502" Properties=species:S:1:pos:R:3 comment="PBE MoOs2Br, relaxed" n_ef_per_ev_cell=5.6 vol_a3_per_fu=64 sg="P4/mmm, No. 123" raw_formation_energy_ev_per_atom=1.308 e_above_lowest_polymorph_ev_per_atom=0.6684 pbc="T T T"
Mo -1.8771 -1.8953 0.6934
Os 0.0000 0.0000 0.0000
Os 0.5809 -3.0093 1.2540
Br 0.6575 -2.2796 -1.4027

# 18
5
Lattice="-3.4429 -2.0463 -2.1887 2.8643 -1.2183 -3.3666 0.9210 -3.8953 2.1931" Properties=species:S:1:pos:R:3 comment="PBE Mo2POsBr, relaxed" n_ef_per_ev_cell=7.1 vol_a3_per_fu=96 sg="P4/mmm, No. 123" raw_formation_energy_ev_per_atom=2.343 pbc="T T T"
P 1.4321 -0.6091 -1.6833
Mo 0.4605 -1.9476 1.0966
Mo -1.7215 -1.0231 -1.0943
Os 0.1712 -3.5799 -1.6811
Br 0.0000 0.0000 0.0000

# 19
5
Lattice="-0.3795 -1.2636 -4.6647 4.0106 -2.6598 0.3942 -2.6727 -3.8435 1.2586" Properties=species:S:1:pos:R:3 comment="PBE Mo2OsPtBr, relaxed" n_ef_per_ev_cell=6.7 vol_a3_per_fu=113 sg="P4/mmm, No. 123" raw_formation_energy_ev_per_atom=2.416 pbc="T T T"
Mo -1.3363 -1.9218 0.6293
Mo -0.1898 -0.6318 -2.3324
Os 0.4792 -3.8835 -1.5059
Br 2.0053 -1.3299 0.1971
Pt 0.0000 0.0000 0.0000

# 20
5
Lattice="4.6316 0.0000 0.0000 0.0000 4.6698 0.0000 0.0000 0.0000 4.6316" Properties=species:S:1:pos:R:3 comment="PBE SbMoOs2Br, relaxed" n_ef_per_ev_cell=5.4 vol_a3_per_fu=100 sg="P4/mmm, No. 123" raw_formation_energy_ev_per_atom=2.024 pbc="T T T"
Sb 2.3158 2.3349 2.3158
Mo 0.0000 2.3349 0.0000
Os 0.0000 0.0000 2.3158
Os 2.3158 0.0000 0.0000
Br 0.0000 0.0000 0.0000